Here is a geometry-optimized La5TbCo3 structure from Alexandria. Energies are from PBE-GGA.

abc: 7.761 7.761 10.132
angles: 109.33 109.33 73.82
Fractional positions:
La1 0.064 0.064 0.371
La2 0.140 0.527 0.327
La3 0.195 0.805 0.000
La4 0.397 0.397 0.707
La5 0.473 0.860 0.673
La6 0.527 0.140 0.327
La7 0.603 0.603 0.293
La8 0.805 0.195 0.000
La9 0.860 0.473 0.673
La10 0.936 0.936 0.629
Tb1 0.268 0.268 0.964
Tb2 0.732 0.732 0.036
Co1 0.165 0.165 0.667
Co2 0.167 0.167 0.165
Co3 0.500 0.500 0.000
Co4 0.500 0.500 0.500
Co5 0.833 0.833 0.835
Co6 0.835 0.835 0.333

DFT formation energy = -0.11 eV per atom
E_tot = -5.73 eV per atom
Space-group type = C2/m (12)

***

Here is a geometry-optimized TaRe2Se structure from Alexandria. Energies are from PBE-GGA.

abc: 9.095 9.095 9.095
angles: 18.37 18.37 18.37
Fractional positions:
Ta1 0.000 0.000 0.000
Re1 0.500 0.500 0.500
Re2 0.756 0.756 0.756
Se1 0.252 0.252 0.252

E_form (uncorrected) = 0.228 eV per atom
E_tot = -9.83 eV per atom
Space-group type = R3m (160)

***

Here is a geometry-optimized TlCo2Rh2 structure from Alexandria. Energies are from PBE-GGA.

abc: 7.242 7.242 2.870
angles: 90.00 90.00 90.00
Fractional positions:
Tl1 0.000 0.000 0.000
Tl2 0.500 0.500 0.000
Co1 0.117 0.383 0.000
Co2 0.383 0.883 0.000
Co3 0.617 0.117 0.000
Co4 0.883 0.617 0.000
Rh1 0.172 0.672 0.500
Rh2 0.328 0.172 0.500
Rh3 0.672 0.828 0.500
Rh4 0.828 0.328 0.500

DFT formation energy = 0.27 eV per atom
E_tot = -5.98 eV per atom
Space-group type = P4/mbm (127)

***

Here is a geometry-optimized Ac6AsPt3S2 structure from Alexandria. Energies are from PBE-GGA.

abc: 10.057 10.057 9.096
angles: 106.84 106.84 24.88
Fractional positions:
Ac1 0.003 0.003 0.244
Ac2 0.331 0.331 0.423
Ac3 0.336 0.336 0.910
Ac4 0.664 0.664 0.090
Ac5 0.669 0.669 0.577
Ac6 0.997 0.997 0.756
As1 0.500 0.500 0.500
Pt1 0.167 0.167 0.333
Pt2 0.500 0.500 0.000
Pt3 0.833 0.833 0.667
S1 0.169 0.169 0.838
S2 0.831 0.831 0.162

E_form (uncorrected) = -1.444 eV per atom
E_tot = -6.08 eV per atom
Space-group type = C2/m (12)

***

Here is a geometry-optimized CaAgW2 structure from Alexandria. Energies are from PBE-GGA.

abc: 2.801 5.306 5.103
angles: 90.00 95.60 90.00
Fractional positions:
Ca1 0.000 0.000 0.000
Ag1 0.500 0.000 0.500
W1 0.322 0.500 0.754
W2 0.678 0.500 0.246

DFT formation energy = 0.72 eV per atom
E_tot = -6.97 eV per atom
Space-group type = P2/m (10)

***

Here is a geometry-optimized TmCo2GeH structure from Alexandria. Energies are from PBE-GGA.

abc: 5.406 5.406 6.891
angles: 90.00 90.00 140.87
Fractional positions:
Tm1 0.053 0.947 0.750
Tm2 0.947 0.053 0.250
Co1 0.343 0.657 0.556
Co2 0.343 0.657 0.944
Co3 0.657 0.343 0.056
Co4 0.657 0.343 0.444
Ge1 0.228 0.772 0.250
Ge2 0.772 0.228 0.750
H1 0.500 0.500 0.000
H2 0.500 0.500 0.500

E_tot = -5.80 eV per atom
Space-group type = Cmcm (63)

***

Here is a geometry-optimized SiPb structure from Alexandria. Energies are from PBE-GGA.

abc: 6.319 6.922 9.468
angles: 90.00 90.00 90.00
Fractional positions:
Si1 0.156 0.199 0.246
Si2 0.174 0.860 0.246
Si3 0.326 0.140 0.746
Si4 0.344 0.801 0.746
Si5 0.656 0.301 0.754
Si6 0.674 0.640 0.754
Si7 0.826 0.360 0.254
Si8 0.844 0.699 0.254
Pb1 0.022 0.637 0.552
Pb2 0.034 0.639 0.950
Pb3 0.466 0.361 0.450
Pb4 0.478 0.363 0.052
Pb5 0.522 0.863 0.448
Pb6 0.534 0.861 0.050
Pb7 0.966 0.139 0.550
Pb8 0.978 0.137 0.948

E_form (uncorrected) = 0.315 eV per atom
E_tot = -4.25 eV per atom
Space-group type = P2_12_12_1 (19)

***

Here is a geometry-optimized NaRu4O8 structure from Alexandria. Energies are from PBE-GGA.

abc: 6.939 6.939 6.939
angles: 92.90 92.90 153.98
Fractional positions:
Na1 0.000 0.000 0.000
Ru1 0.158 0.680 0.838
Ru2 0.320 0.158 0.479
Ru3 0.680 0.842 0.521
Ru4 0.842 0.320 0.162
O1 0.050 0.337 0.387
O2 0.322 0.369 0.691
O3 0.337 0.950 0.288
O4 0.369 0.678 0.048
O5 0.631 0.322 0.952
O6 0.663 0.050 0.712
O7 0.678 0.631 0.309
O8 0.950 0.663 0.613

E_form (uncorrected) = -1.015 eV per atom
E_tot = -7.02 eV per atom
Space-group type = I4/m (87)